No. 1
TaAuCl2: relaxed, PBE-GGA.

Geometry as CIF:
```
data_TaAuCl2
_symmetry_space_group_name_H-M 'P 4/m m m'
_symmetry_Int_Tables_number 123
_symmetry_space_group_name_Hall '-P 4 2'
_cell_length_a 4.156
_cell_length_b 4.156
_cell_length_c 4.380
_cell_angle_alpha 90.00
_cell_angle_beta 90.00
_cell_angle_gamma 90.00
loop_
_atom_site_label
_atom_site_type_symbol
_atom_site_fract_x
_atom_site_fract_y
_atom_site_fract_z
Ta1 Ta 0.000 0.000 0.000
Au1 Au 0.500 0.500 0.000
Cl1 Cl 0.000 0.500 0.500
```

For the total energy, the calculation gives -4.1008 eV per atom. For the polymorph energy (0 for the lowest one), the calculation gives 4.60 eV/f.u. As for the crystal system: tetragonal. The value obtained for the calculated volume is 18.913 Å³/atom. The calculation puts the density at 9.851 g/cm3. The formation energy without anion corrections comes out at 0.61 eV per atom. The calculation puts the density of states at the Fermi level at 0.8995 states/eV per atom.


No. 2
TaAuCl2: relaxed, PBE-GGA.

Geometry as CIF:
```
data_TaAuCl2
_symmetry_space_group_name_H-M 'I -4 2 d'
_symmetry_Int_Tables_number 122
_symmetry_space_group_name_Hall 'I -4 2bw'
_cell_length_a 8.640
_cell_length_b 8.640
_cell_length_c 5.367
_cell_angle_alpha 90.00
_cell_angle_beta 90.00
_cell_angle_gamma 90.00
loop_
_atom_site_label
_atom_site_type_symbol
_atom_site_fract_x
_atom_site_fract_y
_atom_site_fract_z
Ta1 Ta 0.000 0.000 0.000
Au1 Au 0.000 0.000 0.500
Cl1 Cl 0.115 0.250 0.125
```

For the total energy, the calculation gives -4.7781 eV per atom. For the polymorph energy (0 for the lowest one), the calculation gives 1.89 eV/f.u. As for the crystal system: tetragonal. The value obtained for the calculated volume is 25.041 Å³/atom. The calculation puts the density at 7.441 g/cm3. The formation energy without anion corrections comes out at -0.07 eV per atom. The calculation puts the density of states at the Fermi level at 0.5515 states/eV per atom.


No. 3
TaAu3Cl: relaxed, PBE-GGA.

Geometry as CIF:
```
data_TaAu3Cl
_symmetry_space_group_name_H-M 'P m -3 m'
_symmetry_Int_Tables_number 221
_symmetry_space_group_name_Hall '-P 4 2 3'
_cell_length_a 5.174
_cell_length_b 5.174
_cell_length_c 5.174
_cell_angle_alpha 90.00
_cell_angle_beta 90.00
_cell_angle_gamma 90.00
loop_
_atom_site_label
_atom_site_type_symbol
_atom_site_fract_x
_atom_site_fract_y
_atom_site_fract_z
Ta1 Ta 0.000 0.000 0.000
Au1 Au 0.000 0.000 0.500
Cl1 Cl 0.500 0.500 0.500
```

For the total energy, the calculation gives -3.7415 eV per atom. For the polymorph energy (0 for the lowest one), the calculation gives 0.00 eV/f.u. As for the crystal system: cubic. The value obtained for the calculated volume is 27.700 Å³/atom. The calculation puts the density at 9.679 g/cm3. The formation energy without anion corrections comes out at 0.96 eV per atom. The calculation puts the density of states at the Fermi level at 0.8401 states/eV per atom.


No. 4
TaAu2Cl: relaxed, PBE-GGA.

Geometry as CIF:
```
data_TaAu2Cl
_symmetry_space_group_name_H-M 'C m m 2'
_symmetry_Int_Tables_number 35
_cell_length_a 3.245
_cell_length_b 4.900
_cell_length_c 10.189
_cell_angle_alpha 90.00
_cell_angle_beta 90.00
_cell_angle_gamma 90.00
loop_
_symmetry_equiv_pos_as_xyz
'x,y,z'
'-x,-y,z'
'-x,y,z'
'x,-y,z'
'x+1/2,y+1/2,z'
'-x+1/2,-y+1/2,z'
'-x+1/2,y+1/2,z'
'x+1/2,-y+1/2,z'
loop_
_atom_site_label
_atom_site_type_symbol
_atom_site_fract_x
_atom_site_fract_y
_atom_site_fract_z
Ta1 Ta 0.000 0.000 0.000
Au1 Au 0.000 0.000 0.541
Au2 Au 0.000 0.500 0.775
Cl1 Cl 0.000 0.500 0.190
```

For the total energy, the calculation gives -5.1117 eV per atom. For the polymorph energy (0 for the lowest one), the calculation gives 0.67 eV/f.u. As for the crystal system: orthorhombic. The value obtained for the calculated volume is 20.256 Å³/atom. The calculation puts the density at 12.508 g/cm3. The formation energy without anion corrections comes out at -0.05 eV per atom. The calculation puts the density of states at the Fermi level at 0.3456 states/eV per atom.


No. 5
TaAu2Cl: relaxed, PBE-GGA.

Geometry as CIF:
```
data_TaAu2Cl
_symmetry_space_group_name_H-M 'P 4/m m m'
_symmetry_Int_Tables_number 123
_symmetry_space_group_name_Hall '-P 4 2'
_cell_length_a 5.142
_cell_length_b 5.142
_cell_length_c 2.902
_cell_angle_alpha 90.00
_cell_angle_beta 90.00
_cell_angle_gamma 90.00
loop_
_atom_site_label
_atom_site_type_symbol
_atom_site_fract_x
_atom_site_fract_y
_atom_site_fract_z
Ta1 Ta 0.000 0.000 0.000
Au1 Au 0.000 0.500 0.500
Cl1 Cl 0.500 0.500 0.000
```

For the total energy, the calculation gives -4.5131 eV per atom. For the polymorph energy (0 for the lowest one), the calculation gives 3.06 eV/f.u. As for the crystal system: tetragonal. The value obtained for the calculated volume is 19.182 Å³/atom. The calculation puts the density at 13.209 g/cm3. The formation energy without anion corrections comes out at 0.55 eV per atom. The calculation puts the density of states at the Fermi level at 1.1706 states/eV per atom.


No. 6
TaAuCl2: relaxed, PBE-GGA.

Geometry as CIF:
```
data_TaAuCl2
_symmetry_space_group_name_H-M 'I -4 m 2'
_symmetry_Int_Tables_number 119
_symmetry_space_group_name_Hall 'I -4 -2'
_cell_length_a 4.742
_cell_length_b 4.742
_cell_length_c 6.780
_cell_angle_alpha 90.00
_cell_angle_beta 90.00
_cell_angle_gamma 90.00
loop_
_atom_site_label
_atom_site_type_symbol
_atom_site_fract_x
_atom_site_fract_y
_atom_site_fract_z
Ta1 Ta 0.000 0.000 0.000
Au1 Au 0.000 0.500 0.750
Cl1 Cl 0.000 0.000 0.500
Cl2 Cl 0.000 0.500 0.250
```

For the total energy, the calculation gives -4.1982 eV per atom. For the polymorph energy (0 for the lowest one), the calculation gives 4.21 eV/f.u. As for the crystal system: tetragonal. The value obtained for the calculated volume is 19.055 Å³/atom. The calculation puts the density at 9.778 g/cm3. The formation energy without anion corrections comes out at 0.51 eV per atom. The calculation puts the density of states at the Fermi level at 0.4672 states/eV per atom.


No. 7
TaAuCl: relaxed, PBE-GGA.

Geometry as CIF:
```
data_TaAuCl
_symmetry_space_group_name_H-M 'F -4 3 m'
_symmetry_Int_Tables_number 216
_symmetry_space_group_name_Hall 'F -4 2 3'
_cell_length_a 6.260
_cell_length_b 6.260
_cell_length_c 6.260
_cell_angle_alpha 90.00
_cell_angle_beta 90.00
_cell_angle_gamma 90.00
loop_
_atom_site_label
_atom_site_type_symbol
_atom_site_fract_x
_atom_site_fract_y
_atom_site_fract_z
Ta1 Ta 0.000 0.000 0.000
Au1 Au 0.250 0.250 0.250
Cl1 Cl 0.250 0.250 0.750
```

For the total energy, the calculation gives -5.1967 eV per atom. For the polymorph energy (0 for the lowest one), the calculation gives 2.16 eV/f.u. As for the crystal system: cubic. The value obtained for the calculated volume is 20.444 Å³/atom. The calculation puts the density at 11.192 g/cm3. The formation energy without anion corrections comes out at 0.46 eV per atom. The calculation puts the density of states at the Fermi level at 0.9443 states/eV per atom.


No. 8
TaAu2Cl: relaxed, PBE-GGA.

Geometry as CIF:
```
data_TaAu2Cl
_symmetry_space_group_name_H-M 'C m m m'
_symmetry_Int_Tables_number 65
_symmetry_space_group_name_Hall '-C 2 2'
_cell_length_a 4.296
_cell_length_b 4.344
_cell_length_c 8.061
_cell_angle_alpha 90.00
_cell_angle_beta 90.00
_cell_angle_gamma 90.00
loop_
_atom_site_label
_atom_site_type_symbol
_atom_site_fract_x
_atom_site_fract_y
_atom_site_fract_z
Ta1 Ta 0.000 0.000 0.000
Au1 Au 0.000 0.500 0.234
Cl1 Cl 0.000 0.000 0.500
```

For the total energy, the calculation gives -5.0401 eV per atom. For the polymorph energy (0 for the lowest one), the calculation gives 0.95 eV/f.u. As for the crystal system: orthorhombic. The value obtained for the calculated volume is 18.802 Å³/atom. The calculation puts the density at 13.476 g/cm3. The formation energy without anion corrections comes out at 0.02 eV per atom. The calculation puts the density of states at the Fermi level at 0.7508 states/eV per atom.


No. 9
TaAuCl: relaxed, PBE-GGA.

Geometry as CIF:
```
data_TaAuCl
_symmetry_space_group_name_H-M 'P -6 m 2'
_symmetry_Int_Tables_number 187
_symmetry_space_group_name_Hall 'P -6 2'
_cell_length_a 4.4849
_cell_length_b 4.4849
_cell_length_c 3.0584
_cell_angle_alpha 90.00
_cell_angle_beta 90.00
_cell_angle_gamma 120.00
loop_
_atom_site_label
_atom_site_type_symbol
_atom_site_fract_x
_atom_site_fract_y
_atom_site_fract_z
Ta1 Ta 0.0000 0.0000 0.0000
Au1 Au 0.6667 0.3333 0.5000
Cl1 Cl 0.3333 0.6667 0.0000
```

For the total energy, the calculation gives -5.4024 eV per atom. For the polymorph energy (0 for the lowest one), the calculation gives 1.54 eV/f.u. As for the crystal system: hexagonal. The value obtained for the calculated volume is 17.759 Å³/atom. The calculation puts the density at 12.884 g/cm3. The formation energy without anion corrections comes out at 0.26 eV per atom. The calculation puts the density of states at the Fermi level at 0.8688 states/eV per atom.


No. 10
TaAu3Cl: relaxed, PBE-GGA.

Geometry as CIF:
```
data_TaAu3Cl
_symmetry_space_group_name_H-M 'P m -3 m'
_symmetry_Int_Tables_number 221
_symmetry_space_group_name_Hall '-P 4 2 3'
_cell_length_a 4.820
_cell_length_b 4.820
_cell_length_c 4.820
_cell_angle_alpha 90.00
_cell_angle_beta 90.00
_cell_angle_gamma 90.00
loop_
_atom_site_label
_atom_site_type_symbol
_atom_site_fract_x
_atom_site_fract_y
_atom_site_fract_z
Ta1 Ta 0.000 0.000 0.000
Au1 Au 0.000 0.500 0.500
Cl1 Cl 0.500 0.500 0.500
```

For the total energy, the calculation gives -3.2018 eV per atom. For the polymorph energy (0 for the lowest one), the calculation gives 2.70 eV/f.u. As for the crystal system: cubic. The value obtained for the calculated volume is 22.400 Å³/atom. The calculation puts the density at 11.969 g/cm3. The formation energy without anion corrections comes out at 1.50 eV per atom. The calculation puts the density of states at the Fermi level at 0.8273 states/eV per atom.


No. 11
TaAuCl2: relaxed, PBE-GGA.

Geometry as CIF:
```
data_TaAuCl2
_symmetry_space_group_name_H-M 'P m m m'
_symmetry_Int_Tables_number 47
_cell_length_a 2.998
_cell_length_b 4.504
_cell_length_c 5.496
_cell_angle_alpha 90.00
_cell_angle_beta 90.00
_cell_angle_gamma 90.00
loop_
_symmetry_equiv_pos_as_xyz
'x,y,z'
'-x,-y,-z'
'-x,-y,z'
'x,y,-z'
'x,-y,-z'
'-x,y,z'
'-x,y,-z'
'x,-y,z'
loop_
_atom_site_label
_atom_site_type_symbol
_atom_site_fract_x
_atom_site_fract_y
_atom_site_fract_z
Ta1 Ta 0.000 0.000 0.000
Au1 Au 0.500 0.000 0.500
Cl1 Cl 0.000 0.500 0.500
Cl2 Cl 0.500 0.500 0.000
```

For the total energy, the calculation gives -4.3009 eV per atom. For the polymorph energy (0 for the lowest one), the calculation gives 3.80 eV/f.u. As for the crystal system: orthorhombic. The value obtained for the calculated volume is 18.552 Å³/atom. The calculation puts the density at 10.043 g/cm3. The formation energy without anion corrections comes out at 0.40 eV per atom. The calculation puts the density of states at the Fermi level at 0.8210 states/eV per atom.


No. 12
TaAuCl2: relaxed, PBE-GGA.

Geometry as CIF:
```
data_TaAuCl2
_symmetry_space_group_name_H-M 'R -3 m'
_symmetry_Int_Tables_number 166
_symmetry_space_group_name_Hall '-R 3 2"'
_cell_length_a 3.0433
_cell_length_b 3.0433
_cell_length_c 33.3425
_cell_angle_alpha 90.00
_cell_angle_beta 90.00
_cell_angle_gamma 120.00
loop_
_atom_site_label
_atom_site_type_symbol
_atom_site_fract_x
_atom_site_fract_y
_atom_site_fract_z
Ta1 Ta 0.0000 0.0000 0.0000
Au1 Au 0.0000 0.0000 0.5000
Cl1 Cl 0.0000 0.0000 0.2785
```

For the total energy, the calculation gives -5.1794 eV per atom. For the polymorph energy (0 for the lowest one), the calculation gives 0.29 eV/f.u. As for the crystal system: trigonal. The value obtained for the calculated volume is 22.286 Å³/atom. The calculation puts the density at 8.361 g/cm3. The formation energy without anion corrections comes out at -0.47 eV per atom. The calculation puts the density of states at the Fermi level at 0.2338 states/eV per atom.